Arrangement i

An optimized crystal structure of LaTbNdIn. Source: the Alexandria database, functional PBE-GGA.

```
4
Lattice="0.000 3.935 3.935 3.935 0.000 3.935 3.935 3.935 0.000" Properties=species:S:1:pos:R:3 pbc="T T T"
La 0.000 0.000 0.000
Tb 1.967 1.967 1.967
Nd 5.902 5.902 5.902
In 3.935 3.935 3.935
```

## Properties
M_tot ... 0.003 μB per atom



Arrangement ii

An optimized crystal structure of LaTbNdIn. Source: the Alexandria database, functional PBE-GGA.

```
4
Lattice="0.000 3.970 3.970 3.970 0.000 3.970 3.970 3.970 0.000" Properties=species:S:1:pos:R:3 pbc="T T T"
La 0.000 0.000 0.000
Tb 1.985 1.985 1.985
Nd 3.970 3.970 3.970
In 5.956 5.956 5.956
```

## Properties
M_tot ... 0.178 μB per atom



How do the structures above rank in stability at the extremes? arrangement ii comes first and arrangement i comes last.